Entry 1:
# Th5Co6

A relaxed Th5Co6 crystal (PBE-GGA, the Alexandria database).

Cell: 3.7960 3.9424 14.7484 Å, 97.68 90.00 90.00°
Atoms (fractional coordinates):
Th (0.5000, 0.8013, 0.6027)
Th (0.0000, 0.3889, 0.7778)
Th (0.5000, 0.1987, 0.3973)
Th (0.0000, 0.6111, 0.2222)
Th (0.0000, 0.0000, 0.0000)
Co (0.5000, 0.5404, 0.0807)
Co (0.0000, 0.7154, 0.4307)
Co (0.5000, 0.0938, 0.1876)
Co (0.5000, 0.4596, 0.9193)
Co (0.0000, 0.2846, 0.5693)
Co (0.5000, 0.9062, 0.8124)

Formation energy ... -294 meV per atom
Density of states at the Fermi level ... 1.026 states/eV/atom

---

Entry 2:
# CsNbTl2F8

A relaxed CsNbTl2F8 crystal (PBE-GGA, the Alexandria database).

Cell: 5.0157 6.6345 8.6113 Å, 89.96 89.94 95.48°
Atoms (fractional coordinates):
F (0.1166, 0.8240, 0.1628)
F (0.5097, 0.2757, 0.5001)
F (0.4903, 0.7243, 0.4999)
F (0.8825, 0.1757, 0.1627)
F (0.3398, 0.1633, 0.0001)
F (0.6602, 0.8367, 0.9999)
F (0.8834, 0.1760, 0.8372)
F (0.1175, 0.8243, 0.8373)
Nb (0.0000, 0.0000, 0.0000)
Tl (0.5001, 0.5001, 0.2716)
Tl (0.4999, 0.4999, 0.7284)
Cs (0.0000, 0.0000, 0.5000)

E_form (uncorrected) ... -2.630 eV per atom
Density of states at the Fermi level ... 0.000 states/eV/atom

---

Entry 3:
# Pa2ReSe

A relaxed Pa2ReSe crystal (PBE-GGA, the Alexandria database).

Cell: 3.9873 3.9873 7.4210 Å, 74.42 74.42 60.00°
Atoms (fractional coordinates):
Re (0.0000, 0.0000, 0.0000)
Se (0.5000, 0.5000, 0.5000)
Pa (0.2604, 0.2604, 0.2187)
Pa (0.7396, 0.7396, 0.7813)

Offset from the most stable computed form ... 0.000 eV per atom
E_form (uncorrected) ... -0.580 eV per atom
Density of states at the Fermi level ... 1.261 states/eV/atom

---

Entry 4:
# Th2GaCoNi

A relaxed Th2GaCoNi crystal (PBE-GGA, the Alexandria database).

Cell: 4.1447 6.9999 7.2837 Å, 100.77 90.00 90.00°
Atoms (fractional coordinates):
Co (0.2500, 0.8964, 0.9264)
Co (0.7500, 0.1036, 0.0736)
Ni (0.2500, 0.5785, 0.7286)
Ni (0.7500, 0.4215, 0.2714)
Th (0.7500, 0.8679, 0.6522)
Th (0.7500, 0.7178, 0.0817)
Th (0.2500, 0.2822, 0.9183)
Th (0.2500, 0.1321, 0.3478)
Ga (0.7500, 0.3974, 0.6173)
Ga (0.2500, 0.6026, 0.3827)

Formation energy ... -418 meV per atom
Density of states at the Fermi level ... 0.932 states/eV/atom

---

Entry 5:
# CaCd5

A relaxed CaCd5 crystal (PBE-GGA, the Alexandria database).

Cell: 5.1438 5.1438 6.6094 Å, 83.08 83.08 57.76°
Atoms (fractional coordinates):
Cd (0.6591, 0.6591, 0.7977)
Cd (0.9721, 0.9721, 0.5556)
Cd (0.2853, 0.2853, 0.3135)
Cd (0.6124, 0.6124, 0.3095)
Cd (0.3321, 0.3321, 0.8015)
Ca (0.9723, 0.9723, 0.0556)

Formation energy ... -191 meV per atom
Density of states at the Fermi level ... 0.359 states/eV/atom

---

Entry 6:
# La12Pr6In

A relaxed La12Pr6In crystal (PBE-GGA, the Alexandria database).

Cell: 9.5020 9.5020 9.5020 Å, 109.55 109.55 109.55°
Atoms (fractional coordinates):
Pr (0.2620, 0.4516, 0.1956)
Pr (0.5484, 0.8044, 0.7380)
Pr (0.4516, 0.1956, 0.2620)
Pr (0.8044, 0.7380, 0.5484)
Pr (0.7380, 0.5484, 0.8044)
Pr (0.1956, 0.2620, 0.4516)
La (0.4964, 0.8528, 0.3478)
La (0.8061, 0.2638, 0.0622)
La (0.1472, 0.6522, 0.5036)
La (0.3478, 0.4964, 0.8528)
La (0.5036, 0.1472, 0.6522)
La (0.8528, 0.3478, 0.4964)
La (0.7362, 0.9378, 0.1939)
La (0.6522, 0.5036, 0.1472)
La (0.0622, 0.8061, 0.2638)
La (0.1939, 0.7362, 0.9378)
La (0.9378, 0.1939, 0.7362)
La (0.2638, 0.0622, 0.8061)
In (0.0000, 0.0000, 0.0000)

Formation energy ... 49 meV per atom
Density of states at the Fermi level ... 1.513 states/eV/atom

---

Entry 7:
# BeCoSnBi2

A relaxed BeCoSnBi2 crystal (PBE-GGA, the Alexandria database).

Cell: 5.0523 4.7203 5.0523 Å, 90.00 90.00 90.00°
Atoms (fractional coordinates):
Bi (0.0000, 0.0000, 0.5000)
Bi (0.5000, 0.0000, 0.0000)
Co (0.5000, 0.5000, 0.5000)
Be (0.0000, 0.0000, 0.0000)
Sn (0.0000, 0.5000, 0.0000)

Formation energy ... 945 meV per atom
Density of states at the Fermi level ... 1.380 states/eV/atom

---

Entry 8:
# Pr2YEr

A relaxed Pr2YEr crystal (PBE-GGA, the Alexandria database).

Cell: 5.7735 5.7735 5.7735 Å, 60.00 60.00 60.00°
Atoms (fractional coordinates):
Pr (0.7500, 0.7500, 0.7500)
Pr (0.2500, 0.2500, 0.2500)
Er (0.0000, 0.0000, 0.0000)
Y (0.5000, 0.5000, 0.5000)

Offset from the most stable computed form ... 0.085 eV per atom
Formation energy ... 96 meV per atom
Density of states at the Fermi level ... 1.829 states/eV/atom

---

Question: Look up the density of states at the Fermi level of the second one.
Answer: 0.000 states/eV/atom